(1)
Density functional theory data (PBE-GGA) for crystalline Sb7O6F9 at its relaxed geometry.

abc: 5.6934 6.0869 22.6773
angles: 97.71 90.00 90.00
With the nearest neighbours (Å) after each atom.
Fractional coordinates of all 44 atoms:
Sb 0.7008 0.4574 0.6501  2 F 1.98-2.08, 1 O 2.02
Sb 0.7008 0.3073 0.3499  2 F 1.98-2.08, 1 O 2.02
Sb 0.7494 0.6619 0.9476  2 O 2.01-2.02, 1 F 2.03
Sb 0.7494 0.2143 0.0524  2 O 2.01-2.02, 1 F 2.03
Sb 0.7290 0.0034 0.5000  3 F 1.97-2.04
Sb 0.6886 0.2632 0.7872  3 O 2.01-2.08
Sb 0.6886 0.9760 0.2128  3 O 2.01-2.08
Sb 0.3114 0.4760 0.2128  3 O 2.01-2.08
Sb 0.3114 0.7632 0.7872  3 O 2.01-2.08
Sb 0.2710 0.5034 0.5000  3 F 1.97-2.04
Sb 0.2506 0.1619 0.9476  2 O 2.01-2.02, 1 F 2.03
Sb 0.2506 0.7143 0.0524  2 O 2.01-2.02, 1 F 2.03
Sb 0.2992 0.9574 0.6501  2 F 1.98-2.08, 1 O 2.02
Sb 0.2992 0.8073 0.3499  2 F 1.98-2.08, 1 O 2.02
O 0.0000 0.0588 0.0000  2 Sb 2.01
O 0.0000 0.5588 0.0000  2 Sb 2.01
O 0.4611 0.7627 0.7033  2 Sb 2.02-2.08
O 0.4611 0.5594 0.2967  2 Sb 2.02-2.08
O 0.4406 0.0659 0.8152  2 Sb 2.01
O 0.4406 0.7507 0.1848  2 Sb 2.01
O 0.5000 0.5530 0.0000  2 Sb 2.02
O 0.5000 0.0530 0.0000  2 Sb 2.02
O 0.5594 0.2507 0.1848  2 Sb 2.01
O 0.5594 0.5659 0.8152  2 Sb 2.01
O 0.5389 0.2627 0.7033  2 Sb 2.02-2.08
O 0.5389 0.0594 0.2967  2 Sb 2.02-2.08
F 0.7655 0.3416 0.9083  1 Sb 2.03
F 0.7655 0.9333 0.0917  1 Sb 2.03
F 0.9536 0.4927 0.7108  1 Sb 1.98
F 0.9536 0.2819 0.2892  1 Sb 1.98
F 0.9523 0.3774 0.5000  1 Sb 1.97
F 0.8600 0.0676 0.3939  1 Sb 2.08
F 0.8600 0.1737 0.6061  1 Sb 2.08
F 0.6136 0.8012 0.5588  1 Sb 2.04
F 0.6136 0.7423 0.4412  1 Sb 2.04
F 0.3864 0.3012 0.5588  1 Sb 2.04
F 0.3864 0.2423 0.4412  1 Sb 2.04
F 0.1400 0.6737 0.6061  1 Sb 2.08
F 0.1400 0.5676 0.3939  1 Sb 2.08
F 0.0477 0.8774 0.5000  1 Sb 1.97
F 0.0464 0.9927 0.7108  1 Sb 1.98
F 0.0464 0.7819 0.2892  1 Sb 1.98
F 0.2345 0.8416 0.9083  1 Sb 2.03
F 0.2345 0.4333 0.0917  1 Sb 2.03

## Properties
The calculation puts the total energy at -5.3045 eV/atom. The space group is No. 39. The calculation puts the formation energy from raw total energies at -1.875 eV per atom.

=====

(2)
Density functional theory data (PBE-GGA) for crystalline TeIrPb3 at its relaxed geometry.

abc: 5.3640 5.3640 5.3640
angles: 90.00 90.00 90.00
With the nearest neighbours (Å) after each atom.
Fractional coordinates of all 5 atoms:
Pb 0.0000 0.5000 0.0000  2 Ir 2.68
Pb 0.0000 0.0000 0.5000  2 Ir 2.68
Pb 0.5000 0.0000 0.0000  2 Ir 2.68
Ir 0.0000 0.0000 0.0000  6 Pb 2.68
Te 0.5000 0.5000 0.5000  12 Pb 3.79

## Properties
The calculation puts the total energy at -4.5718 eV/atom. The space group is No. 221. As for the relative energy among the computed polymorphs: 0 meV per atom. The calculation puts the formation energy from raw total energies at 0.054 eV per atom.

=====

Q: The highest total energy belongs to which entry?
A: TeIrPb3

=====

Please write out number 2 again, unchanged.
Density functional theory data (PBE-GGA) for crystalline TeIrPb3 at its relaxed geometry.

abc: 5.3640 5.3640 5.3640
angles: 90.00 90.00 90.00
With the nearest neighbours (Å) after each atom.
Fractional coordinates of all 5 atoms:
Pb 0.0000 0.5000 0.0000  2 Ir 2.68
Pb 0.0000 0.0000 0.5000  2 Ir 2.68
Pb 0.5000 0.0000 0.0000  2 Ir 2.68
Ir 0.0000 0.0000 0.0000  6 Pb 2.68
Te 0.5000 0.5000 0.5000  12 Pb 3.79

## Properties
The calculation puts the total energy at -4.5718 eV/atom. The space group is No. 221. As for the relative energy among the computed polymorphs: 0 meV per atom. The calculation puts the formation energy from raw total energies at 0.054 eV per atom.

=====

Q: Number 2 is which compound?
A: TeIrPb3